K4Be5 | PBE | relaxed

```
data_K4Be5
_space_group_name_H-M_alt 'I 4/m m m'
_space_group_IT_number 139
_space_group_name_Hall '-I 4 2'
_cell_length_a 13.068
_cell_length_b 13.068
_cell_length_c 3.875
_cell_angle_alpha 90.00
_cell_angle_beta 90.00
_cell_angle_gamma 90.00
loop_
_atom_site_label
_atom_site_fract_x
_atom_site_fract_y
_atom_site_fract_z
_atom_site_occupancy
K1 0.000 0.269 0.000 1
Be1 0.000 0.000 0.000 1
Be2 0.076 0.076 0.500 1
```

Calculated values
DOS at the Fermi energy	12.51	states/eV per cell
E_form	708	meV per atom

YPuMgIr | PBE | relaxed

```
data_YPuMgIr
_space_group_name_H-M_alt 'F -4 3 m'
_space_group_IT_number 216
_space_group_name_Hall 'F -4 2 3'
_cell_length_a 7.101
_cell_length_b 7.101
_cell_length_c 7.101
_cell_angle_alpha 90.00
_cell_angle_beta 90.00
_cell_angle_gamma 90.00
loop_
_atom_site_label
_atom_site_fract_x
_atom_site_fract_y
_atom_site_fract_z
_atom_site_occupancy
Y1 0.000 0.000 0.000 1
Pu1 0.000 0.000 0.500 1
Mg1 0.250 0.250 0.250 1
Ir1 0.250 0.250 0.750 1
```

Calculated values
DOS at the Fermi energy	24.58	states/eV per cell
E_form	-249	meV per atom

La2TbY | PBE | relaxed

```
data_La2TbY
_space_group_name_H-M_alt 'P 4/m m m'
_space_group_IT_number 123
_space_group_name_Hall '-P 4 2'
_cell_length_a 3.711
_cell_length_b 3.711
_cell_length_c 10.042
_cell_angle_alpha 90.00
_cell_angle_beta 90.00
_cell_angle_gamma 90.00
loop_
_atom_site_label
_atom_site_fract_x
_atom_site_fract_y
_atom_site_fract_z
_atom_site_occupancy
La1 0.000 0.000 0.249 1
Tb1 0.500 0.500 0.000 1
Y1 0.500 0.500 0.500 1
```

Calculated values
DOS at the Fermi energy	7.03	states/eV per cell
E_form	23	meV per atom

Zr2SiAs | PBE | relaxed

```
data_Zr2SiAs
_space_group_name_H-M_alt 'R 3 m'
_space_group_IT_number 160
_space_group_name_Hall 'R 3 -2"'
_cell_length_a 3.2878
_cell_length_b 3.2878
_cell_length_c 25.9143
_cell_angle_alpha 90.00
_cell_angle_beta 90.00
_cell_angle_gamma 120.00
loop_
_atom_site_label
_atom_site_fract_x
_atom_site_fract_y
_atom_site_fract_z
_atom_site_occupancy
Zr1 0.0000 0.0000 0.0000 1
Zr2 0.0000 0.0000 0.2363 1
Si1 0.0000 0.0000 0.4849 1
As1 0.0000 0.0000 0.7510 1
```

Calculated values
formation energy (no corrections)	-0.066	eV/atom
DOS at the Fermi energy	8.89	states/eV per cell

PaTlAu | PBE | relaxed

```
data_PaTlAu
_space_group_name_H-M_alt 'I 4 m m'
_space_group_IT_number 107
_space_group_name_Hall 'I 4 -2'
_cell_length_a 2.972
_cell_length_b 2.972
_cell_length_c 17.198
_cell_angle_alpha 90.00
_cell_angle_beta 90.00
_cell_angle_gamma 90.00
loop_
_atom_site_label
_atom_site_fract_x
_atom_site_fract_y
_atom_site_fract_z
_atom_site_occupancy
Pa1 0.000 0.000 0.000 1
Tl1 0.000 0.000 0.659 1
Au1 0.000 0.000 0.832 1
```

Calculated values
DOS at the Fermi energy	8.32	states/eV per cell
E_form	418	meV per atom

Tm5TeAs4 | PBE | relaxed

```
data_Tm5TeAs4
_space_group_name_H-M_alt 'I m m m'
_space_group_IT_number 71
_space_group_name_Hall '-I 2 2'
_cell_length_a 4.097
_cell_length_b 5.829
_cell_length_c 20.618
_cell_angle_alpha 90.00
_cell_angle_beta 90.00
_cell_angle_gamma 90.00
loop_
_atom_site_label
_atom_site_fract_x
_atom_site_fract_y
_atom_site_fract_z
_atom_site_occupancy
Tm1 0.000 0.000 0.000 1
Tm2 0.000 0.000 0.198 1
Tm3 0.000 0.000 0.388 1
Te1 0.000 0.500 0.000 1
As1 0.000 0.500 0.204 1
As2 0.000 0.500 0.401 1
```

Calculated values
formation energy (no corrections)	-1.472	eV/atom
DOS at the Fermi energy	5.22	states/eV per cell